Record 1
VASP calculation (PBE) on a geometry-optimized LaLuS3 structure.

Values from the calculation:
spin magnetization: 0.00 μB/atom
ΔE to the lowest computed polymorph: 0.0 meV per atom

Geometry as extended XYZ:
```
10
Lattice="1.959 -6.315 0.000 1.959 6.315 0.000 0.000 0.000 9.533" Properties=species:S:1:pos:R:3 pbc="T T T"
La 1.959 -3.205 2.383
La 1.959 3.205 7.149
Lu 1.959 0.000 0.000
Lu 1.959 0.000 4.766
S 1.959 4.546 0.586
S 1.959 1.062 2.383
S 1.959 4.546 4.180
S 1.959 -4.546 5.353
S 1.959 -1.062 7.149
S 1.959 -4.546 8.946
```

***

Record 2
VASP calculation (PBE) on a geometry-optimized Pr2HoIn3AgPt2 structure.

Values from the calculation:
DFT total energy: -44.39 eV per cell
spin magnetization: 0.00 μB/atom

Geometry as extended XYZ:
```
9
Lattice="3.948 0.000 0.000 0.000 6.807 3.947 0.000 -6.807 3.947" Properties=species:S:1:pos:R:3 pbc="T T T"
Ag 0.000 0.000 0.028
Ho 0.000 0.000 3.268
In 1.974 1.768 1.052
In 1.974 -1.768 1.052
In 1.974 0.000 5.806
Pr 0.000 2.806 6.261
Pr 0.000 -2.806 6.261
Pt 1.974 2.192 3.925
Pt 1.974 -2.192 3.925
```

***

Record 3
VASP calculation (PBE) on a geometry-optimized PmAl8Pd4 structure.

Values from the calculation:
DFT total energy: -64.84 eV per cell
spin magnetization: 0.00 μB/atom

Geometry as extended XYZ:
```
13
Lattice="6.315 -2.257 -1.331 -2.619 3.886 4.979 -2.963 -5.951 1.599" Properties=species:S:1:pos:R:3 pbc="T T T"
Al 2.592 -1.007 1.883
Al 0.610 0.356 3.284
Al 1.169 -2.862 0.093
Al -1.946 -0.720 2.294
Al 2.184 -5.347 0.175
Al -3.635 -1.345 4.285
Al 0.124 -4.678 1.963
Al -1.858 -3.315 3.364
Pd 3.158 -1.129 -0.666
Pd -1.309 1.943 2.489
Pd -1.481 -2.975 0.800
Pd 0.367 -2.161 2.623
Pm 0.000 0.000 0.000
```

***

Record 4
VASP calculation (PBE) on a geometry-optimized LiAl2Ir structure.

Values from the calculation:
spin magnetization: 0.00 μB/atom
ΔE to the lowest computed polymorph: 0.5 meV per atom

Geometry as extended XYZ:
```
16
Lattice="6.029 0.000 0.000 0.000 4.266 0.000 0.000 0.000 8.526" Properties=species:S:1:pos:R:3 pbc="T T T"
Al 0.000 3.199 1.067
Al 3.015 3.199 1.067
Al 0.000 1.066 3.196
Al 3.015 1.066 3.196
Al 3.015 3.199 5.330
Al 0.000 3.199 5.330
Al 3.015 1.066 7.459
Al 0.000 1.066 7.459
Ir 4.522 1.066 1.065
Ir 1.507 3.199 3.198
Ir 4.522 1.066 5.328
Ir 1.507 3.199 7.461
Li 1.507 1.066 1.064
Li 4.522 3.199 3.199
Li 1.507 1.066 5.327
Li 4.522 3.199 7.462
```

***

Record 5
VASP calculation (PBE) on a geometry-optimized BaZr2 structure.

Values from the calculation:
spin magnetization: 0.01 μB/atom
ΔE to the lowest computed polymorph: 0.0 meV per atom

Geometry as extended XYZ:
```
12
Lattice="-8.679 -18.273 3.870 0.173 -0.767 -3.234 4.908 -2.167 0.776" Properties=species:S:1:pos:R:3 pbc="T T T"
Ba -5.732 -12.068 2.556
Ba -1.306 -3.316 -0.996
Ba -4.350 -15.408 3.422
Ba 0.076 -6.656 -0.130
Zr -3.241 -6.825 1.446
Zr -8.655 -18.224 3.860
Zr -4.229 -9.470 0.308
Zr -7.494 -16.344 1.764
Zr 1.838 -2.380 0.663
Zr -1.427 -9.254 2.119
Zr -2.415 -11.899 0.981
Zr -5.679 -18.773 2.437
```

***

Record 6
VASP calculation (PBE) on a geometry-optimized DyTm2Ni4Ge4 structure.

Values from the calculation:
DFT total energy: -62.57 eV per cell
spin magnetization: 0.00 μB/atom

Geometry as extended XYZ:
```
11
Lattice="-2.025 3.362 6.709 2.025 -3.362 6.709 2.025 3.362 -6.709" Properties=species:S:1:pos:R:3 pbc="T T T"
Dy 0.000 0.000 0.000
Ge 0.000 0.000 2.926
Ge 0.000 0.000 10.493
Ge 0.000 1.295 6.709
Ge 2.025 2.067 0.000
Ni 0.000 2.045 4.329
Ni 0.000 2.045 9.090
Ni 2.025 1.318 -2.381
Ni 2.025 1.318 2.381
Tm 0.000 3.362 1.733
Tm 2.025 0.000 4.976
```

***

Record 7
VASP calculation (PBE) on a geometry-optimized AcHfMg structure.

Values from the calculation:
spin magnetization: 0.20 μB/atom
ΔE to the lowest computed polymorph: 0.0 meV per atom

Geometry as extended XYZ:
```
3
Lattice="0.000 3.672 3.672 3.672 0.000 3.672 3.672 3.672 0.000" Properties=species:S:1:pos:R:3 pbc="T T T"
Ac 1.836 1.836 1.836
Hf 5.509 5.509 5.509
Mg 0.000 0.000 0.000
```

***

Record 8
VASP calculation (PBE) on a geometry-optimized GdMgZn structure.

Values from the calculation:
DFT total energy: -22.44 eV per cell
spin magnetization: 0.01 μB/atom

Geometry as extended XYZ:
```
9
Lattice="5.044 0.000 0.000 -2.522 4.369 0.000 0.000 0.000 9.544" Properties=species:S:1:pos:R:3 pbc="T T T"
Gd 2.522 1.456 0.000
Gd 0.000 0.000 2.327
Gd 0.000 0.000 8.201
Mg 0.000 2.912 0.895
Mg 2.522 1.456 6.038
Mg 0.000 2.912 6.905
Zn 2.522 1.456 3.115
Zn 0.000 2.912 3.869
Zn 0.000 0.000 5.298
```

***

Record 9
VASP calculation (PBE) on a geometry-optimized PmYPd structure.

Values from the calculation:
spin magnetization: 0.00 μB/atom
formation enthalpy at 0 K: -1.28 eV per formula unit

Geometry as extended XYZ:
```
3
Lattice="0.000 3.492 3.492 3.492 0.000 3.492 3.492 3.492 0.000" Properties=species:S:1:pos:R:3 pbc="T T T"
Pd 0.000 0.000 0.000
Pm 1.746 1.746 1.746
Y 5.239 5.239 5.239
```

***

Record 10
VASP calculation (PBE) on a geometry-optimized InAgNO structure.

Values from the calculation:
ΔE to the lowest computed polymorph: 31.4 meV per atom

Geometry as extended XYZ:
```
8
Lattice="-0.157 3.769 2.750 -4.388 0.818 -1.367 -1.562 -2.592 3.463" Properties=species:S:1:pos:R:3 pbc="T T T"
Ag -1.140 1.140 0.354
Ag -4.967 0.855 4.491
In -1.996 1.736 3.452
In -4.111 0.260 1.393
N -4.183 2.156 2.753
N -1.924 -0.160 2.092
O -1.215 3.031 1.721
O -3.330 1.556 -0.338
```

***

Record 11
VASP calculation (PBE) on a geometry-optimized CoBAu2 structure.

Values from the calculation:
DFT total energy: -16.52 eV per cell
spin magnetization: 0.00 μB/atom

Geometry as extended XYZ:
```
4
Lattice="-2.670 1.554 2.963 -2.287 3.525 -0.817 -4.232 -0.281 -0.574" Properties=species:S:1:pos:R:3 pbc="T T T"
Au 0.000 0.000 0.000
Au -6.892 3.598 1.179
B -4.595 2.399 0.786
Co -2.297 1.199 0.393
```

***

Record 12
VASP calculation (PBE) on a geometry-optimized CsTbNdS3 structure.

Values from the calculation:
DFT total energy: -65.32 eV per cell
spin magnetization: 0.02 μB/atom

Geometry as extended XYZ:
```
12
Lattice="-2.955 3.956 6.655 -0.207 -6.676 -4.905 7.760 -4.922 6.372" Properties=species:S:1:pos:R:3 pbc="T T T"
Cs -0.367 0.219 5.522
Cs 4.965 -7.861 2.600
Nd -1.581 -1.360 0.875
Nd 2.299 -3.821 4.061
S -0.123 -5.723 -3.271
S 0.507 -3.164 1.844
S 2.966 -7.682 -0.734
S 1.631 0.040 8.856
S 4.090 -4.478 6.278
S 4.720 -1.920 11.393
Tb 1.650 -7.587 -2.965
Tb 2.947 -0.055 11.087
```

***

Record 13
VASP calculation (PBE) on a geometry-optimized Fe3CuS5 structure.

Values from the calculation:
DFT total energy: -48.46 eV per cell
spin magnetization: 0.32 μB/atom

Geometry as extended XYZ:
```
9
Lattice="5.141 0.000 0.000 -2.570 4.452 0.000 0.000 0.000 6.385" Properties=species:S:1:pos:R:3 pbc="T T T"
Cu 0.000 0.000 0.000
Fe 2.570 0.000 3.192
Fe -1.285 2.226 3.192
Fe 1.285 2.226 3.192
S 2.570 1.484 1.570
S 0.000 2.968 1.570
S 0.000 0.000 3.192
S 2.570 1.484 4.814
S 0.000 2.968 4.814
```

***

Record 14
VASP calculation (PBE) on a geometry-optimized PuAlPt structure.

Values from the calculation:
DFT total energy: -25.79 eV per cell
spin magnetization: 1.86 μB/atom

Geometry as extended XYZ:
```
3
Lattice="-2.660 -3.303 -1.835 -3.576 1.144 -2.694 0.165 -0.843 -4.541" Properties=species:S:1:pos:R:3 pbc="T T T"
Al -1.518 -0.751 -2.267
Pt 0.000 0.000 0.000
Pu -4.553 -2.252 -6.802
```

***

Record 15
VASP calculation (PBE) on a geometry-optimized Mo structure.

Values from the calculation:
spin magnetization: 0.00 μB/atom
ΔE to the lowest computed polymorph: 433.4 meV per atom
formation enthalpy at 0 K: 0.43 eV per formula unit

Geometry as extended XYZ:
```
2
Lattice="2.753 0.000 0.000 -1.376 2.384 0.000 0.000 0.000 4.917" Properties=species:S:1:pos:R:3 pbc="T T T"
Mo 1.376 0.795 1.229
Mo 0.000 1.589 3.688
```

***

Record 16
VASP calculation (PBE) on a geometry-optimized ScCoAsAu structure.

Values from the calculation:
spin magnetization: 0.08 μB/atom
ΔE to the lowest computed polymorph: 149.7 meV per atom

Geometry as extended XYZ:
```
4
Lattice="0.000 3.208 3.208 3.208 0.000 3.208 3.208 3.208 0.000" Properties=species:S:1:pos:R:3 pbc="T T T"
As 0.000 0.000 0.000
Au 4.812 4.812 4.812
Co 1.604 1.604 1.604
Sc 3.208 3.208 3.208
```

***

Record 17
VASP calculation (PBE) on a geometry-optimized B4Mo structure.

Values from the calculation:
spin magnetization: 0.00 μB/atom
ΔE to the lowest computed polymorph: 438.1 meV per atom

Geometry as extended XYZ:
```
20
Lattice="5.302 0.000 0.000 -2.651 4.592 0.000 0.000 0.000 6.568" Properties=species:S:1:pos:R:3 pbc="T T T"
B -1.759 3.047 6.568
B 1.759 3.047 6.568
B 1.784 0.000 0.000
B 3.518 0.000 0.000
B 4.410 1.545 0.000
B 0.892 1.545 0.000
B 2.651 1.531 0.795
B 2.651 1.531 2.489
B 4.410 1.545 3.284
B 0.892 1.545 3.284
B 1.784 0.000 3.284
B 3.518 0.000 3.284
B -1.759 3.047 3.284
B 1.759 3.047 3.284
B 0.000 3.061 4.079
B 0.000 3.061 5.773
Mo 2.651 4.592 1.642
Mo 0.000 3.061 1.642
Mo 0.000 0.000 4.926
Mo 2.651 1.531 4.926
```

***

Record 18
VASP calculation (PBE) on a geometry-optimized Tm3AuC4 structure.

Values from the calculation:
DFT total energy: -52.98 eV per cell
spin magnetization: 0.00 μB/atom

Geometry as extended XYZ:
```
8
Lattice="4.576 -3.831 -1.480 -1.734 2.694 5.248 -2.269 -4.923 -2.902" Properties=species:S:1:pos:R:3 pbc="T T T"
Au 1.328 -4.447 -1.960
C 0.949 -0.854 2.205
C 0.575 -1.995 -0.914
C 1.842 -6.804 -3.321
C -0.330 -5.225 -1.277
Tm 0.026 -0.010 0.034
Tm 2.048 -2.826 0.810
Tm -1.403 -3.264 0.153
```